(1)
Here is a geometry-optimized Tb6Pm2Y structure from Alexandria. Energies are from PBE.

The calculation puts the volume at 32.6 A^3/atom. As for the formation enthalpy at 0 K: 0.11 eV per atom.

The space group is C2/c (No. 15) and the conventional cell measures 10.687, 17.787 and 6.187 Å, with angles of 90.00, 93.63 and 90.00 degrees. The inequivalent atoms are Tb at (0.086, 0.076, 0.492), Tb at (0.086, 0.413, 0.505), Tb at (0.165, 0.243, 0.259), Pm at (0.248, 0.410, 0.013) and Y at (0.000, 0.241, 0.750).

(2)
Here is a geometry-optimized NdEuSiAu structure from Alexandria. Energies are from PBE.

The calculation puts the volume at 25.3 A^3/atom. The uncorrected formation energy is -0.625 eV per atom.

The space group is F-43m (No. 216) and the conventional cell measures 7.401, 7.401 and 7.401 Å, with angles of 90.00, 90.00 and 90.00 degrees. The inequivalent atoms are Nd at (0.000, 0.000, 0.000), Eu at (0.000, 0.000, 0.500), Si at (0.250, 0.250, 0.750) and Au at (0.250, 0.250, 0.250).

(3)
Here is a geometry-optimized Tb6Al2In structure from Alexandria. Energies are from PBE.

The calculation puts the volume at 31.5 A^3/atom. As for the formation enthalpy at 0 K: -0.05 eV per atom.

The space group is Immm (No. 71) and the conventional cell measures 5.108, 7.239 and 15.333 Å, with angles of 90.00, 90.00 and 90.00 degrees. The inequivalent atoms are Tb at (0.000, 0.242, 0.000), Tb at (0.000, 0.254, 0.330), Al at (0.000, 0.000, 0.167) and In at (0.000, 0.000, 0.500).